a.
A plane-wave DFT calculation with PBE was carried out for crystalline NdIn3Hg3 at its relaxed geometry.

The structure in POSCAR format:
```
NdIn3Hg3
1.0
5.1609 0.0000 0.0000
0.0000 9.0771 0.0000
0.0000 -4.5385 7.8610
Hg In Nd
6 6 2
Direct
0.7500 0.4761 0.0934
0.7500 0.6173 0.5239
0.7500 0.9066 0.3827
0.2500 0.0934 0.6173
0.2500 0.5239 0.9066
0.2500 0.3827 0.4761
0.2500 0.2356 0.0236
0.7500 0.2120 0.2356
0.2500 0.9764 0.2120
0.7500 0.7644 0.9764
0.7500 0.0236 0.7880
0.2500 0.7880 0.7644
0.7500 0.3333 0.6667
0.2500 0.6667 0.3333
```

* total moment: 0.0 μB per formula unit

***

b.
A plane-wave DFT calculation with PBE was carried out for crystalline NdIn3Hg3 at its relaxed geometry.

The structure in POSCAR format:
```
NdIn3Hg3
1.0
7.8225 0.0000 0.0000
0.0000 7.8225 0.0000
0.0000 0.0000 7.8225
Hg In Nd
6 6 2
Direct
0.0000 0.5000 0.2500
0.0000 0.5000 0.7500
0.7500 0.0000 0.5000
0.5000 0.7500 0.0000
0.2500 0.0000 0.5000
0.5000 0.2500 0.0000
0.2500 0.5000 0.0000
0.7500 0.5000 0.0000
0.5000 0.0000 0.7500
0.5000 0.0000 0.2500
0.0000 0.2500 0.5000
0.0000 0.7500 0.5000
0.0000 0.0000 0.0000
0.5000 0.5000 0.5000
```

* total moment: 0.0 μB per formula unit

***

Which of them is the least stable? Correct choice: b.

***

a.
A plane-wave DFT calculation with PBE was carried out for crystalline NdIn2Hg5 at its relaxed geometry.

The structure in POSCAR format:
```
NdIn2Hg5
1.0
4.5164 0.0000 -1.6935
-0.6350 4.4715 -1.6935
0.9379 1.0806 9.3704
Hg In Nd
5 2 1
Direct
0.6271 0.1271 0.2542
0.1271 0.6271 0.2542
0.5000 0.5000 0.0000
0.3729 0.8729 0.7458
0.8729 0.3729 0.7458
0.7565 0.7565 0.5131
0.2435 0.2435 0.4869
0.0000 0.0000 0.0000
```

* total moment: 0.0 μB per formula unit

***

b.
A plane-wave DFT calculation with PBE was carried out for crystalline NdIn2Hg5 at its relaxed geometry.

The structure in POSCAR format:
```
NdIn2Hg5
1.0
8.0030 0.0000 0.0000
0.0000 8.0030 0.0000
-4.0015 -4.0015 6.6738
Hg In Nd
10 4 2
Direct
0.0000 0.0000 0.0000
0.4843 0.6919 0.6763
0.5000 0.5000 0.0000
0.8081 0.0157 0.3237
0.9843 0.4843 0.6763
0.5157 0.3081 0.3237
0.3081 0.8081 0.3237
0.1919 0.9843 0.6763
0.6919 0.1919 0.6763
0.0157 0.5157 0.3237
0.1500 0.3500 0.0000
0.3500 0.8500 0.0000
0.6500 0.1500 0.0000
0.8500 0.6500 0.0000
0.2500 0.2500 0.5000
0.7500 0.7500 0.5000
```

* total moment: 0.0 μB per formula unit

***

Which of them is the least stable? Correct choice: b.

***

a.
A plane-wave DFT calculation with PBE was carried out for crystalline Nd8InHg2 at its relaxed geometry.

The structure in POSCAR format:
```
Nd8InHg2
1.0
-5.3346 1.6799 -0.5746
-1.1279 -7.3938 4.5986
3.4521 6.9700 4.0730
Hg Nd In
2 8 1
Direct
0.0000 0.6914 0.3086
0.0000 0.3086 0.6914
0.6969 0.3987 0.3987
0.0937 0.0881 0.3110
0.9063 0.9119 0.6891
0.9063 0.6891 0.9119
0.5000 0.2251 0.7749
0.3031 0.6013 0.6013
0.0937 0.3110 0.0881
0.5000 0.7749 0.2251
0.5000 0.0000 0.0000
```

* total moment: 0.0 μB per formula unit

***

b.
A plane-wave DFT calculation with PBE was carried out for crystalline Nd8InHg2 at its relaxed geometry.

The structure in POSCAR format:
```
Nd8InHg2
1.0
5.2271 0.0000 -1.6879
-1.3508 7.6306 -4.1834
-0.0308 -0.1360 8.8425
Nd In Hg
8 1 2
Direct
0.9304 0.2782 0.8608
0.1391 0.1931 0.2782
0.0696 0.7218 0.1392
0.4066 0.5503 0.8132
0.3188 0.0465 0.6376
0.8609 0.8069 0.7218
0.6812 0.9535 0.3624
0.5934 0.4497 0.1868
0.5000 0.0000 0.0000
0.7750 0.3820 0.5500
0.2250 0.6180 0.4500
```

* total moment: 0.0 μB per formula unit

***

Which of them is the least stable? Correct choice: a.

***

a.
A plane-wave DFT calculation with PBE was carried out for crystalline Nd2InHg6 at its relaxed geometry.

The structure in POSCAR format:
```
Nd2InHg6
1.0
-0.1151 -2.7675 5.5271
5.2542 -6.3769 -3.0836
0.7824 5.5216 2.5264
Nd Hg In
2 6 1
Direct
0.6768 0.6781 0.3562
0.3232 0.3219 0.6438
0.1658 0.8309 0.3291
0.1658 0.4981 0.3291
0.8342 0.1691 0.6709
0.5000 0.8321 0.0000
0.5000 0.1679 0.0000
0.8342 0.5019 0.6709
0.0000 0.0000 0.0000
```

* total moment: 0.0 μB per formula unit

***

b.
A plane-wave DFT calculation with PBE was carried out for crystalline Nd2InHg6 at its relaxed geometry.

The structure in POSCAR format:
```
Nd2InHg6
1.0
-3.1555 -3.2825 2.4064
4.9924 -1.1461 -0.5277
1.9469 4.4886 8.6755
Hg Nd In
6 2 1
Direct
0.6667 0.3334 0.9331
0.3333 0.6666 0.3931
0.0000 0.0001 0.1558
0.0000 0.9999 0.8442
0.6667 0.3334 0.6069
0.3333 0.6666 0.0669
0.3333 0.6666 0.7246
0.6667 0.3334 0.2754
0.0000 0.0000 0.5000
```

* total moment: 0.0 μB per formula unit

***

Which of them is the least stable? Correct choice: a.

***

a.
A plane-wave DFT calculation with PBE was carried out for crystalline NdInHgPb at its relaxed geometry.

The structure in POSCAR format:
```
NdInHgPb
1.0
-3.0446 0.6675 -3.5304
1.1826 -4.1785 -1.8099
-3.5164 -2.1340 2.6290
Hg In Pb Nd
1 1 1 1
Direct
0.5000 0.5000 0.0000
0.0000 0.0000 0.0000
0.0000 0.5000 0.5000
0.5000 0.0000 0.5000
```

* total moment: 0.0 μB per formula unit

***

b.
A plane-wave DFT calculation with PBE was carried out for crystalline NdInHgPb at its relaxed geometry.

The structure in POSCAR format:
```
NdInHgPb
1.0
-5.4209 0.3647 -0.2742
-3.0984 -4.0390 1.9186
-2.9104 0.7249 4.5386
Pb Nd Hg In
1 1 1 1
Direct
0.2500 0.2500 0.2500
0.7500 0.7500 0.7500
0.0000 0.0000 0.0000
0.5000 0.5000 0.5000
```

* total moment: 0.0 μB per formula unit

***

Which of them is the least stable? Correct choice: b.

***

a.
A plane-wave DFT calculation with PBE was carried out for crystalline NdInSnHg at its relaxed geometry.

The structure in POSCAR format:
```
NdInSnHg
1.0
-1.6114 -0.6264 5.0680
3.5894 0.0274 3.9735
0.1967 4.1306 3.4019
Nd Sn In Hg
1 1 1 1
Direct
0.5000 0.5000 0.5000
0.2500 0.2500 0.2500
0.0000 0.0000 0.0000
0.7500 0.7500 0.7500
```

* total moment: 0.0 μB per formula unit

***

b.
A plane-wave DFT calculation with PBE was carried out for crystalline NdInSnHg at its relaxed geometry.

The structure in POSCAR format:
```
NdInSnHg
1.0
4.6497 0.0000 0.0000
0.0000 4.8551 0.0000
0.0000 0.0000 4.6277
Nd In Sn Hg
1 1 1 1
Direct
0.5000 0.0000 0.5000
0.0000 0.5000 0.5000
0.0000 0.0000 0.0000
0.5000 0.5000 0.0000
```

* total moment: 0.0 μB per formula unit

***

Which of them is the least stable? Correct choice: a.

***

a.
A plane-wave DFT calculation with PBE was carried out for crystalline SrNdInHg at its relaxed geometry.

The structure in POSCAR format:
```
SrNdInHg
1.0
3.8874 0.0000 0.0000
0.0000 3.8874 0.0000
0.0000 0.0000 8.1336
Hg In Sr Nd
1 1 1 1
Direct
0.5000 0.5000 0.5886
0.5000 0.5000 0.1252
0.0000 0.0000 0.8518
0.0000 0.0000 0.3623
```

* total moment: 0.0 μB per formula unit

***

b.
A plane-wave DFT calculation with PBE was carried out for crystalline SrNdInHg at its relaxed geometry.

The structure in POSCAR format:
```
SrNdInHg
1.0
-5.4146 -0.1436 -1.3600
-3.7582 -1.8520 3.6923
-3.5723 3.5728 2.3793
Sr Hg Nd In
1 1 1 1
Direct
0.2500 0.2500 0.2500
0.5000 0.5000 0.5000
0.7500 0.7500 0.7500
0.0000 0.0000 0.0000
```

* total moment: 0.0 μB per formula unit

***

Which of them is the least stable? Correct choice: b.